Sm8Sc2Hg PBE-GGA relaxed; formation energy = 0.009 eV/atom; VASP energy = -4.602 eV/atom; SG = C2/m (12); total magnetization = 0.00 μB/f.u.
1.0
-5.099 1.115 -1.492
0.467 -5.376 -5.613
-0.396 -3.905 8.313
Sm Sc Hg
8 2 1
direct
0.664 0.916 0.329 Sm
0.821 0.776 0.642 Sm
0.616 0.433 0.232 Sm
0.986 0.249 0.972 Sm
0.384 0.567 0.768 Sm
0.179 0.224 0.358 Sm
0.014 0.751 0.028 Sm
0.336 0.084 0.671 Sm
0.807 0.340 0.615 Sc
0.193 0.660 0.385 Sc
0.500 0.000 0.000 Hg